# 1
## PuSeCl (PBE)

Data for PuSeCl after structural relaxation.

Output
N(E_F), states/eV per cell: 7.18
Polymorph energy (0 for the lowest one), eV/atom: 0.008
Formation energy (no corrections), eV/atom: -1.59
SG: F-43m

POSCAR file:
```
PuSeCl
1.0
4.8351 0.0000 0.0000
2.4175 4.1873 0.0000
2.4175 1.3958 3.9478
Pu Cl Se
1 1 1
Direct
0.2500 0.2500 0.2500 Pu
0.5000 0.5000 0.5000 Cl
0.0000 0.0000 0.0000 Se
```

=====

# 2
## Pu3Se2Cl (PBE)

Data for Pu3Se2Cl after structural relaxation.

Output
N(E_F), states/eV per cell: 101.47
Formation energy (no corrections), eV/atom: -1.38
SG: Fddd

POSCAR file:
```
Pu3Se2Cl
1.0
6.9825 0.0025 -1.2844
-2.6986 6.4400 -1.2844
0.0250 0.0376 13.0709
Pu Se Cl
12 8 4
Direct
0.3306 0.8327 0.1676 Pu
0.1673 0.6694 0.8324 Pu
0.7538 0.7538 0.0000 Pu
0.4129 0.4150 0.3324 Pu
0.0827 0.0806 0.6676 Pu
0.2462 0.2462 0.0000 Pu
0.4962 0.9962 0.5000 Pu
0.8371 0.3350 0.1676 Pu
0.6650 0.1629 0.8324 Pu
0.0038 0.5038 0.5000 Pu
0.9194 0.9173 0.3324 Pu
0.5850 0.5871 0.6676 Pu
0.5825 0.5825 0.1650 Se
0.5011 0.0011 0.0021 Se
0.9989 0.4989 0.9979 Se
0.6675 0.1675 0.3350 Se
0.7489 0.7489 0.4979 Se
0.8325 0.3325 0.6650 Se
0.2511 0.2511 0.5021 Se
0.4175 0.4175 0.8350 Se
0.9167 0.9167 0.8334 Cl
0.1667 0.6667 0.3334 Cl
0.0833 0.0833 0.1666 Cl
0.3333 0.8333 0.6666 Cl
```

=====

# 3
## PuSeCl (PBE)

Data for PuSeCl after structural relaxation.

Output
N(E_F), states/eV per cell: 19.85
Polymorph energy (0 for the lowest one), eV/atom: 0.000
Formation energy (no corrections), eV/atom: -1.60
SG: I-4m2

POSCAR file:
```
PuSeCl
1.0
3.9261 0.0000 -0.7414
-0.1400 3.9236 -0.7414
0.0894 0.0927 11.2392
Cl Se Pu
2 2 2
Direct
0.3225 0.3225 0.6449 Cl
0.6775 0.6775 0.3551 Cl
0.4498 0.9498 0.8997 Se
0.0502 0.5502 0.1003 Se
0.5892 0.0892 0.1784 Pu
0.9108 0.4108 0.8216 Pu
```

=====

# 4
## Pu2SeCl (PBE)

Data for Pu2SeCl after structural relaxation.

Output
N(E_F), states/eV per cell: 15.92
Polymorph energy (0 for the lowest one), eV/atom: 0.000
Formation energy (no corrections), eV/atom: -1.30
SG: R-3m

POSCAR file:
```
Pu2SeCl
1.0
-3.8655 -1.0360 -1.0519
-1.6394 -3.5420 1.3742
-4.0905 1.5561 5.3606
Cl Se Pu
1 1 2
Direct
0.5000 0.5000 0.5000 Cl
0.0000 0.0000 0.0000 Se
0.2477 0.2477 0.2569 Pu
0.7523 0.7523 0.7431 Pu
```

=====

# 5
## Pu2SeCl (PBE)

Data for Pu2SeCl after structural relaxation.

Output
N(E_F), states/eV per cell: 12.31
Polymorph energy (0 for the lowest one), eV/atom: 0.148
Formation energy (no corrections), eV/atom: -1.15
SG: P4/mmm

POSCAR file:
```
Pu2SeCl
1.0
3.5961 0.0000 0.0000
0.0000 3.5961 0.0000
0.0000 0.0000 7.1714
Se Pu Cl
1 2 1
Direct
0.5000 0.5000 0.0000 Se
0.0000 0.0000 0.2369 Pu
0.0000 0.0000 0.7631 Pu
0.5000 0.5000 0.5000 Cl
```

=====

# 6
## Pu2Se2Cl (PBE)

Data for Pu2Se2Cl after structural relaxation.

Output
N(E_F), states/eV per cell: 18.12
Polymorph energy (0 for the lowest one), eV/atom: 0.081
Formation energy (no corrections), eV/atom: -1.54
SG: Immm

POSCAR file:
```
Pu2Se2Cl
1.0
4.1614 0.0000 0.0000
0.0000 5.7325 0.0000
-2.0807 -2.8662 6.3127
Pu Se Cl
2 2 1
Direct
0.3378 0.8378 0.6755 Pu
0.6622 0.1622 0.3245 Pu
0.3188 0.3188 0.6375 Se
0.6812 0.6812 0.3625 Se
0.0000 0.0000 0.0000 Cl
```

=====

# 7
## PuSeCl (PBE)

Data for PuSeCl after structural relaxation.

Output
N(E_F), states/eV per cell: 35.99
Polymorph energy (0 for the lowest one), eV/atom: 0.007
Formation energy (no corrections), eV/atom: -1.59
SG: P2_1/c

POSCAR file:
```
PuSeCl
1.0
7.3065 0.1320 0.0000
-2.6479 6.3658 0.0000
0.0000 0.0000 8.3654
Pu Se Cl
4 4 4
Direct
0.2430 0.4963 0.6268 Pu
0.2570 0.5037 0.1268 Pu
0.7570 0.5037 0.3732 Pu
0.7430 0.4963 0.8732 Pu
0.5031 0.2693 0.1279 Se
0.4969 0.7307 0.8721 Se
0.9969 0.7307 0.6279 Se
0.0031 0.2693 0.3721 Se
0.5056 0.2751 0.6197 Cl
0.4944 0.7249 0.3803 Cl
0.9944 0.7249 0.1197 Cl
0.0056 0.2751 0.8803 Cl
```

=====

# 8
## Pu2SeCl4 (PBE)

Data for Pu2SeCl4 after structural relaxation.

Output
N(E_F), states/eV per cell: 34.54
Formation energy (no corrections), eV/atom: -1.66
SG: P2_1/m

POSCAR file:
```
Pu2SeCl4
1.0
-0.3432 -5.9861 1.3073
1.5771 -1.7929 -7.7958
6.4112 0.6122 4.4864
Pu Cl Se
4 8 2
Direct
0.7500 0.7926 0.9998 Pu
0.2500 0.2074 0.0002 Pu
0.7500 0.3504 0.4161 Pu
0.2500 0.6496 0.5839 Pu
0.0035 0.5388 0.2439 Cl
0.9965 0.4612 0.7561 Cl
0.7500 0.7439 0.6284 Cl
0.2500 0.9997 0.6272 Cl
0.5035 0.4612 0.7561 Cl
0.4965 0.5388 0.2439 Cl
0.2500 0.2561 0.3716 Cl
0.7500 0.0003 0.3728 Cl
0.7500 0.1413 0.0008 Se
0.2500 0.8587 0.9992 Se
```

=====

# 9
## Pu2SeCl (PBE)

Data for Pu2SeCl after structural relaxation.

Output
N(E_F), states/eV per cell: 16.03
Polymorph energy (0 for the lowest one), eV/atom: 0.059
Formation energy (no corrections), eV/atom: -1.24
SG: R3m

POSCAR file:
```
Pu2SeCl
1.0
-1.0632 0.2607 3.7402
-0.4957 -3.2356 2.1149
6.7913 -0.7638 4.0141
Pu Se Cl
2 1 1
Direct
0.2542 0.2542 0.2373 Pu
0.0797 0.0797 0.7610 Pu
0.6677 0.6677 0.9970 Se
0.4984 0.4984 0.5047 Cl
```

=====

# 10
## PuSeCl (PBE)

Data for PuSeCl after structural relaxation.

Output
N(E_F), states/eV per cell: 8.08
Polymorph energy (0 for the lowest one), eV/atom: 0.167
Formation energy (no corrections), eV/atom: -1.43
SG: I4mm

POSCAR file:
```
PuSeCl
1.0
3.5365 0.0000 0.0000
0.0000 3.5365 0.0000
-1.7682 -1.7682 6.6537
Pu Cl Se
1 1 1
Direct
0.6625 0.6625 0.3251 Pu
0.2906 0.2906 0.5812 Cl
0.0469 0.0469 0.0937 Se
```

=====

# 11
## Pu4Se3Cl2 (PBE)

Data for Pu4Se3Cl2 after structural relaxation.

Output
N(E_F), states/eV per cell: 40.59
Formation energy (no corrections), eV/atom: -1.49
SG: C2/m

POSCAR file:
```
Pu4Se3Cl2
1.0
-3.6907 -1.4836 -0.9751
-2.3442 -3.5591 5.6875
-5.7078 5.9233 3.9910
Se Pu Cl
3 4 2
Direct
0.1879 0.4094 0.2148 Se
0.0000 0.0000 0.0000 Se
0.8121 0.5906 0.7852 Se
0.2057 0.8905 0.6981 Pu
0.3951 0.3009 0.9089 Pu
0.6049 0.6991 0.0911 Pu
0.7943 0.1095 0.3019 Pu
0.3936 0.8197 0.3930 Cl
0.6064 0.1803 0.6070 Cl
```

=====

# 12
## Pu2SeCl (PBE)

Data for Pu2SeCl after structural relaxation.

Output
N(E_F), states/eV per cell: 12.42
Polymorph energy (0 for the lowest one), eV/atom: 0.135
Formation energy (no corrections), eV/atom: -1.17
SG: Fm-3m

POSCAR file:
```
Pu2SeCl
1.0
5.0642 0.0000 0.0000
2.5321 4.3857 0.0000
2.5321 1.4619 4.1349
Cl Se Pu
1 1 2
Direct
0.0000 0.0000 0.0000 Cl
0.5000 0.5000 0.5000 Se
0.2500 0.2500 0.2500 Pu
0.7500 0.7500 0.7500 Pu
```

=====

> Which value of formation energy (no corrections) does entry 2 give?

-1.38 eV/atom

=====

> N(E_F) of number 8 (Pu2SeCl4)?

34.54 states/eV per cell